## i
A geometry-optimized RbSm2Cl7 structure, computed with PBE.

Structure (POSCAR):
```
RbSm2Cl7
1.0
7.135 0.000 0.000
0.000 12.978 0.000
0.000 0.000 13.754
Cl Rb Sm
28 4 8
Direct
0.491 0.039 0.132
0.510 0.692 0.828
0.511 0.081 0.375
0.510 0.808 0.328
0.989 0.419 0.875
0.750 0.688 0.614
0.991 0.539 0.368
0.511 0.419 0.875
0.491 0.461 0.632
0.250 0.188 0.886
0.250 0.312 0.386
0.489 0.581 0.125
0.991 0.961 0.868
0.509 0.539 0.368
0.011 0.919 0.625
0.010 0.192 0.672
0.011 0.581 0.125
0.009 0.039 0.132
0.989 0.081 0.375
0.990 0.808 0.328
0.490 0.192 0.672
0.509 0.961 0.868
0.489 0.919 0.625
0.010 0.308 0.172
0.490 0.308 0.172
0.009 0.461 0.632
0.990 0.692 0.828
0.750 0.812 0.114
0.750 0.301 0.468
0.250 0.801 0.032
0.250 0.699 0.532
0.750 0.199 0.968
0.750 0.843 0.755
0.750 0.539 0.763
0.250 0.039 0.737
0.250 0.157 0.245
0.250 0.461 0.237
0.250 0.343 0.745
0.750 0.657 0.255
0.750 0.961 0.263
```

Results
The value obtained for the density of states at the Fermi level is 0.00 states/eV per cell. The value obtained for the calculated volume is 31.8 Å³/atom. The calculation puts the magnetic moment at 0.00 μB/f.u. As for the crystal system: orthorhombic.

## ii
A geometry-optimized RbSm2Cl7 structure, computed with PBE.

Structure (POSCAR):
```
RbSm2Cl7
1.0
5.424 0.000 0.000
0.000 8.212 -0.014
0.000 -3.636 7.363
Cl Sm Rb
7 2 1
Direct
0.000 0.709 0.291
0.500 0.327 0.049
0.000 0.291 0.709
0.500 0.951 0.673
0.500 0.049 0.327
0.500 0.500 0.500
0.500 0.673 0.951
0.500 0.303 0.697
0.500 0.697 0.303
0.000 0.000 0.000
```

Results
The value obtained for the density of states at the Fermi level is 0.00 states/eV per cell. The value obtained for the calculated volume is 32.8 Å³/atom. The calculation puts the magnetic moment at 0.00 μB/f.u. As for the crystal system: orthorhombic.

Most favorable first, least favorable last: i, ii